The following is a DFT calculation (GGA-PBE) of a geometry-optimized Ti4InB structure.

Values from the calculation:
- total magnetization (μB per cell) = 0.00
- formation energy from the elements (eV per atom) = -0.189

Unit cell a=13.529 b=5.224 c=5.870 alpha=90.00 beta=106.14 gamma=90.00
Space group C2/c (No. 15)
Symmetry-distinct sites (fractional):
Ti 0.099 0.081 0.451 (multiplicity 8)
Ti 0.193 0.411 0.147 (multiplicity 8)
In 0.000 0.416 0.750 (multiplicity 4)
B 0.250 0.250 0.500 (multiplicity 4)